! Hg3SbCl | the Alexandria database | GGA-PBE | relaxed; values from VASP
&SYSTEM
  ibrav = 0, nat = 10, ntyp = 3
/
ATOMIC_SPECIES
Hg 200.59 Hg.upf
Sb 121.76 Sb.upf
Cl 35.45 Cl.upf
CELL_PARAMETERS angstrom
-3.415 -2.086 -2.587
5.996 -4.090 -4.616
0.552 -6.322 4.369
ATOMIC_POSITIONS crystal
Hg 0.750 0.610 0.477
Hg 0.250 0.390 0.523
Hg 0.750 0.282 0.952
Hg 0.250 0.961 0.741
Hg 0.250 0.718 0.048
Hg 0.750 0.039 0.259
Sb 0.250 0.787 0.388
Sb 0.750 0.213 0.612
Cl 0.250 0.363 0.129
Cl 0.750 0.637 0.871
! Energy above the lowest structure with this stoichiometry = 0.16 eV per formula unit
! ΔE_f (raw) = -0.13 eV per atom